# 1
DFT (GGA-PBE) results for an optimized crystal structure of Rb2SrMnCl6.

Calculated values
* E_form (uncorrected): -1599 meV/atom
* space-group type: Fm-3m, No. 225
* energy: -3.9855 eV/atom
* crystal system: cubic

```
data_Rb2SrMnCl6
_cell_length_a 7.369
_cell_length_b 7.369
_cell_length_c 7.369
_cell_angle_alpha 60.00
_cell_angle_beta 60.00
_cell_angle_gamma 90.00
_symmetry_space_group_name_H-M 'P 1'
_symmetry_Int_Tables_number 1
loop_
_symmetry_equiv_pos_as_xyz
'x,y,z'
loop_
_atom_site_label
_atom_site_type_symbol
_atom_site_fract_x
_atom_site_fract_y
_atom_site_fract_z
Sr1 Sr 0.000 0.000 0.000
Mn1 Mn 0.500 0.500 0.000
Rb1 Rb 0.750 0.250 0.500
Rb2 Rb 0.250 0.750 0.500
Cl1 Cl 0.272 0.272 0.455
Cl2 Cl 0.728 0.728 0.545
Cl3 Cl 0.272 0.272 0.000
Cl4 Cl 0.728 0.728 0.000
Cl5 Cl 0.728 0.272 0.000
Cl6 Cl 0.272 0.728 0.000
```

***

# 2
DFT (GGA-PBE) results for an optimized crystal structure of Nd2AsPt3.

Calculated values
* formation energy: -24.70 kcal/mol of atoms
* space-group type: Pmm2, No. 25
* energy: -6.4556 eV/atom
* crystal system: orthorhombic

```
data_Nd2AsPt3
_cell_length_a 3.879
_cell_length_b 4.393
_cell_length_c 7.768
_cell_angle_alpha 90.00
_cell_angle_beta 90.00
_cell_angle_gamma 90.00
_symmetry_space_group_name_H-M 'P 1'
_symmetry_Int_Tables_number 1
loop_
_symmetry_equiv_pos_as_xyz
'x,y,z'
loop_
_atom_site_label
_atom_site_type_symbol
_atom_site_fract_x
_atom_site_fract_y
_atom_site_fract_z
Nd1 Nd 0.000 0.500 0.994
Nd2 Nd 0.000 0.000 0.511
As1 As 0.500 0.500 0.324
Pt1 Pt 0.500 0.000 0.840
Pt2 Pt 0.500 0.000 0.186
Pt3 Pt 0.500 0.500 0.645
```

***

# 3
DFT (GGA-PBE) results for an optimized crystal structure of ScNbP2S.

Calculated values
* energy above the lowest structure with this stoichiometry: 3.658 eV per formula unit
* E_form (uncorrected): 551 meV/atom
* space-group type: P4/mmm, No. 123
* energy: -5.7187 eV/atom
* crystal system: tetragonal

```
data_ScNbP2S
_cell_length_a 4.810
_cell_length_b 4.810
_cell_length_c 4.660
_cell_angle_alpha 90.00
_cell_angle_beta 90.00
_cell_angle_gamma 90.00
_symmetry_space_group_name_H-M 'P 1'
_symmetry_Int_Tables_number 1
loop_
_symmetry_equiv_pos_as_xyz
'x,y,z'
loop_
_atom_site_label
_atom_site_type_symbol
_atom_site_fract_x
_atom_site_fract_y
_atom_site_fract_z
Sc1 Sc 0.000 0.000 0.000
P1 P 0.000 0.500 0.000
P2 P 0.500 0.000 0.000
Nb1 Nb 0.500 0.500 0.500
S1 S 0.000 0.000 0.500
```

***

# 4
DFT (GGA-PBE) results for an optimized crystal structure of Pr3ZnP2Pd9.

Calculated values
* formation energy: -15.25 kcal/mol of atoms
* space-group type: P-3m1, No. 164
* energy: -5.5390 eV/atom
* crystal system: trigonal

```
data_Pr3ZnP2Pd9
_cell_length_a 6.216
_cell_length_b 6.216
_cell_length_c 9.157
_cell_angle_alpha 90.00
_cell_angle_beta 90.00
_cell_angle_gamma 120.00
_symmetry_space_group_name_H-M 'P 1'
_symmetry_Int_Tables_number 1
loop_
_symmetry_equiv_pos_as_xyz
'x,y,z'
loop_
_atom_site_label
_atom_site_type_symbol
_atom_site_fract_x
_atom_site_fract_y
_atom_site_fract_z
Pr1 Pr 0.333 0.667 0.663
Pr2 Pr 0.000 0.000 0.000
Pr3 Pr 0.667 0.333 0.337
Zn1 Zn 0.000 0.000 0.500
P1 P 0.333 0.667 0.165
P2 P 0.667 0.333 0.835
Pd1 Pd 0.849 0.151 0.711
Pd2 Pd 0.849 0.698 0.711
Pd3 Pd 0.302 0.151 0.711
Pd4 Pd 0.698 0.849 0.289
Pd5 Pd 0.151 0.302 0.289
Pd6 Pd 0.151 0.849 0.289
Pd7 Pd 0.500 0.000 0.000
Pd8 Pd 0.000 0.500 0.000
Pd9 Pd 0.500 0.500 0.000
```

***

# 5
DFT (GGA-PBE) results for an optimized crystal structure of LaTiAu2.

Calculated values
* energy above the lowest structure with this stoichiometry: 0.418 eV per formula unit
* formation energy: -8.96 kcal/mol of atoms
* space-group type: Fm-3m, No. 225
* energy: -5.2328 eV/atom
* crystal system: cubic

```
data_LaTiAu2
_cell_length_a 5.058
_cell_length_b 5.058
_cell_length_c 5.058
_cell_angle_alpha 60.00
_cell_angle_beta 60.00
_cell_angle_gamma 60.00
_symmetry_space_group_name_H-M 'P 1'
_symmetry_Int_Tables_number 1
loop_
_symmetry_equiv_pos_as_xyz
'x,y,z'
loop_
_atom_site_label
_atom_site_type_symbol
_atom_site_fract_x
_atom_site_fract_y
_atom_site_fract_z
Ti1 Ti 0.000 0.000 0.000
Au1 Au 0.250 0.250 0.250
Au2 Au 0.750 0.750 0.750
La1 La 0.500 0.500 0.500
```

***

# 6
DFT (GGA-PBE) results for an optimized crystal structure of NaSrSbI2.

Calculated values
* energy above the lowest structure with this stoichiometry: 0.000 eV per formula unit
* E_form (uncorrected): -599 meV/atom
* space-group type: P4/mmm, No. 123
* energy: -2.6438 eV/atom
* crystal system: tetragonal

```
data_NaSrSbI2
_cell_length_a 6.424
_cell_length_b 6.424
_cell_length_c 6.598
_cell_angle_alpha 90.00
_cell_angle_beta 90.00
_cell_angle_gamma 90.00
_symmetry_space_group_name_H-M 'P 1'
_symmetry_Int_Tables_number 1
loop_
_symmetry_equiv_pos_as_xyz
'x,y,z'
loop_
_atom_site_label
_atom_site_type_symbol
_atom_site_fract_x
_atom_site_fract_y
_atom_site_fract_z
I1 I 0.000 0.500 0.000
I2 I 0.500 0.000 0.000
Sb1 Sb 0.000 0.000 0.500
Na1 Na 0.500 0.500 0.500
Sr1 Sr 0.000 0.000 0.000
```